1.
The following is a GGA-PBE calculation of crystalline Tm3TlCo2 at its relaxed geometry, from Alexandria via LeMat-Bulk.

```
Tm3TlCo2
1.0
3.284 0.000 0.000
0.000 3.284 0.000
0.000 0.000 11.599
Tm Tl Co
3 1 2
Cartesian
0.000 0.000 0.000
0.000 0.000 3.295
0.000 0.000 8.304
1.642 1.642 5.799
1.642 1.642 1.712
1.642 1.642 9.887
```

Output
density	11.01	Mg/m³
E	-5.2658	eV/atom
crystal system	tetragonal
DOS(E_F)	2.3	states/eV per cell

=====

2.
The following is a GGA-PBE calculation of crystalline AsRu3 at its relaxed geometry, from Alexandria via LeMat-Bulk.

```
AsRu3
1.0
0.000 3.071 3.071
3.071 0.000 3.071
3.071 3.071 0.000
As Ru
1 3
Cartesian
0.000 0.000 0.000
1.535 1.535 1.535
3.071 3.071 3.071
4.606 4.606 4.606
```

Output
density	10.84	Mg/m³
crystal system	cubic
DOS(E_F)	6.3	states/eV per cell
ΔE to the lowest computed polymorph	253.9	meV per atom

=====

3.
The following is a GGA-PBE calculation of crystalline TlTc2Mo at its relaxed geometry, from Alexandria via LeMat-Bulk.

```
TlTc2Mo
1.0
0.000 3.220 3.220
3.220 0.000 3.220
3.220 3.220 0.000
Tl Tc Mo
1 2 1
Cartesian
0.000 0.000 0.000
1.610 1.610 1.610
3.220 3.220 3.220
4.831 4.831 4.831
```

Output
density	12.34	Mg/m³
crystal system	cubic
DOS(E_F)	5.8	states/eV per cell
ΔE to the lowest computed polymorph	312.1	meV per atom

=====

| no. | magnetic moment (μB/atom) |
| --- | --- |
| 1 | 0.12 |
| 2 | 0.44 |
| 3 | 0.00 |